Crystalline LaSc2Ni at its relaxed geometry, computed with PBE-GGA.

Computed properties:
Magnetization, μB/f.u.: 0.0
Energy relative to the lowest polymorph listed for this composition, eV/atom: 0.786
Energy relative to the elements, eV per formula unit: 2.34
Theoretical density, kg/m³: 3937
Total energy, eV/cell: -84.14

a = 5.4463 Å, b = 5.4463 Å, c = 16.3507 Å
α = 90.00°, β = 90.00°, γ = 90.00°
Last column: nearest neighbours and their distance in Å.
Space group I4_1/amd (No. 141, origin choice 2)
Asymmetric unit:
La: 0.0000 0.2500 0.3750 [4 per cell]  8 Sc 3.67, 4 Ni 3.85
Sc: 0.0000 0.0000 0.0000 [8 per cell]  2 Ni 2.46, 2 Sc 2.72
Ni: 0.0000 0.2500 0.8750 [4 per cell]  4 Sc 2.46